Entry one
VASP calculation (GGA-PBE) on an optimized crystal structure of Nd4Dy3Tm4.

## Properties
size of the total moment: 0.00 μB per formula unit

Geometry as POSCAR:
```
Nd4Dy3Tm4
1.0
19.819 -1.790 0.000
19.819 1.790 0.000
-0.639 0.000 4.995
Nd Dy Tm
4 3 4
direct
0.046 0.046 0.045
0.318 0.318 0.318
0.682 0.682 0.682
0.954 0.954 0.955
0.136 0.136 0.136
0.500 0.500 0.500
0.864 0.864 0.864
0.228 0.228 0.228
0.408 0.408 0.409
0.592 0.592 0.591
0.772 0.772 0.772
```

=====

Entry two
VASP calculation (GGA-PBE) on an optimized crystal structure of Nd4Dy3Tm4.

## Properties
size of the total moment: 0.00 μB per formula unit

Geometry as POSCAR:
```
Nd4Dy3Tm4
1.0
10.635 0.000 0.000
0.000 2.834 6.004
0.000 -2.834 6.004
Nd Dy Tm
4 3 4
direct
0.000 0.000 0.000
0.209 0.795 0.795
0.500 0.921 0.921
0.791 0.795 0.795
0.000 0.293 0.293
0.287 0.451 0.451
0.713 0.451 0.451
0.000 0.593 0.593
0.304 0.144 0.144
0.500 0.648 0.648
0.696 0.144 0.144
```

=====

Stability summary: most stable entry one, least stable entry two.

=====

Entry one
VASP calculation (GGA-PBE) on an optimized crystal structure of Nd7Dy3Tm.

## Properties
size of the total moment: 0.00 μB per formula unit

Geometry as POSCAR:
```
Nd7Dy3Tm
1.0
9.675 -3.589 0.000
9.675 3.589 0.000
-5.671 0.000 11.306
Nd Dy Tm
14 6 2
direct
0.080 0.588 0.976
0.081 0.584 0.472
0.207 0.793 0.750
0.338 0.344 0.227
0.344 0.338 0.727
0.412 0.920 0.524
0.416 0.919 0.028
0.584 0.081 0.972
0.588 0.080 0.476
0.656 0.662 0.273
0.662 0.656 0.773
0.793 0.207 0.250
0.919 0.416 0.528
0.920 0.412 0.024
0.169 0.173 0.273
0.173 0.169 0.773
0.500 0.500 0.000
0.500 0.500 0.500
0.827 0.831 0.227
0.831 0.827 0.727
0.000 0.000 0.000
0.000 0.000 0.500
```

=====

Entry two
VASP calculation (GGA-PBE) on an optimized crystal structure of Nd7Dy3Tm.

## Properties
size of the total moment: 0.00 μB per formula unit

Geometry as POSCAR:
```
Nd7Dy3Tm
1.0
6.415 -5.688 0.000
6.415 5.688 0.000
-2.722 0.000 5.252
Nd Dy Tm
7 3 1
direct
0.000 0.000 0.000
0.097 0.519 0.308
0.290 0.290 0.792
0.481 0.903 0.692
0.519 0.097 0.308
0.710 0.710 0.208
0.903 0.481 0.692
0.295 0.705 0.000
0.500 0.500 0.500
0.705 0.295 0.000
0.000 0.000 0.500
```

=====

Stability summary: most stable entry one, least stable entry two.

=====

Entry one
VASP calculation (GGA-PBE) on an optimized crystal structure of Nd4Dy4Tm.

## Properties
size of the total moment: 0.00 μB per formula unit

Geometry as POSCAR:
```
Nd4Dy4Tm
1.0
5.609 0.000 0.000
-0.004 6.871 0.000
-2.791 -3.307 7.761
Nd Dy Tm
4 4 1
direct
0.133 0.458 0.265
0.281 0.213 0.562
0.719 0.787 0.438
0.867 0.542 0.735
0.073 0.873 0.144
0.376 0.825 0.754
0.624 0.175 0.246
0.927 0.127 0.856
0.500 0.500 0.000
```

=====

Entry two
VASP calculation (GGA-PBE) on an optimized crystal structure of Nd4Dy4Tm.

## Properties
size of the total moment: 0.00 μB per formula unit

Geometry as POSCAR:
```
Nd4Dy4Tm
1.0
-5.403 5.403 2.534
5.403 -5.403 2.534
5.403 5.403 -2.534
Nd Dy Tm
4 4 1
direct
0.166 0.166 0.332
0.166 0.834 0.000
0.834 0.166 0.000
0.834 0.834 0.668
0.166 0.500 0.666
0.500 0.166 0.666
0.500 0.834 0.334
0.834 0.500 0.334
0.500 0.500 0.000
```

=====

Stability summary: most stable entry two, least stable entry one.

=====

Entry one
VASP calculation (GGA-PBE) on an optimized crystal structure of NdDyTm.

## Properties
size of the total moment: 0.00 μB per formula unit

Geometry as POSCAR:
```
NdDyTm
1.0
5.663 0.000 0.000
-2.831 4.904 0.000
0.000 0.000 3.473
Nd Dy Tm
1 1 1
direct
0.000 0.000 0.000
0.333 0.667 0.501
0.667 0.333 0.499
```

=====

Entry two
VASP calculation (GGA-PBE) on an optimized crystal structure of NdDyTm.

## Properties
size of the total moment: 0.00 μB per formula unit

Geometry as POSCAR:
```
NdDyTm
1.0
-1.787 1.787 7.572
1.787 -1.787 7.572
1.787 1.787 -7.572
Nd Dy Tm
1 1 1
direct
0.000 0.000 0.000
0.330 0.330 0.000
0.668 0.668 0.000
```

=====

Entry three
VASP calculation (GGA-PBE) on an optimized crystal structure of NdDyTm.

## Properties
size of the total moment: 0.00 μB per formula unit

Geometry as POSCAR:
```
NdDyTm
1.0
5.763 -5.822 0.000
5.763 5.822 0.000
0.000 0.000 3.431
Nd Dy Tm
2 2 2
direct
0.240 0.760 0.000
0.760 0.240 0.000
0.262 0.262 0.500
0.738 0.738 0.500
0.000 0.000 0.500
0.500 0.500 0.000
```

=====

Entry four
VASP calculation (GGA-PBE) on an optimized crystal structure of NdDyTm.

## Properties
size of the total moment: 0.00 μB per formula unit

Geometry as POSCAR:
```
NdDyTm
1.0
3.630 0.000 0.000
0.000 5.715 0.000
-1.775 0.000 9.402
Nd Dy Tm
2 2 2
direct
0.111 0.250 0.221
0.889 0.750 0.779
0.223 0.750 0.444
0.777 0.250 0.556
0.442 0.250 0.888
0.558 0.750 0.112
```

=====

Stability summary: most stable entry four, least stable entry three.

=====

Entry one
VASP calculation (GGA-PBE) on an optimized crystal structure of Nd2Dy7Tm.

## Properties
size of the total moment: 0.00 μB per formula unit

Geometry as POSCAR:
```
Nd2Dy7Tm
1.0
3.252 -14.411 0.000
3.252 14.411 0.000
0.000 0.000 3.505
Nd Dy Tm
2 7 1
direct
0.207 0.793 0.000
0.793 0.207 0.000
0.000 0.000 0.000
0.157 0.352 0.000
0.315 0.685 0.500
0.352 0.157 0.000
0.648 0.843 0.000
0.685 0.315 0.500
0.843 0.648 0.000
0.500 0.500 0.500
```

=====

Entry two
VASP calculation (GGA-PBE) on an optimized crystal structure of Nd2Dy7Tm.

## Properties
size of the total moment: 0.00 μB per formula unit

Geometry as POSCAR:
```
Nd2Dy7Tm
1.0
6.166 0.000 0.000
2.043 6.825 0.000
2.061 1.237 7.593
Nd Dy Tm
2 7 1
direct
0.201 0.299 0.101
0.799 0.701 0.899
0.000 0.000 0.500
0.200 0.800 0.102
0.399 0.101 0.698
0.400 0.601 0.698
0.600 0.399 0.302
0.601 0.899 0.302
0.800 0.200 0.898
0.000 0.500 0.500
```

=====

Stability summary: most stable entry two, least stable entry one.

=====

Entry one
VASP calculation (GGA-PBE) on an optimized crystal structure of Nd6DyTm2.

## Properties
size of the total moment: 0.00 μB per formula unit

Geometry as POSCAR:
```
Nd6DyTm2
1.0
8.203 -5.923 0.000
8.203 5.923 0.000
-0.668 0.000 6.213
Nd Dy Tm
12 2 4
direct
0.092 0.812 0.986
0.144 0.425 0.154
0.188 0.908 0.514
0.239 0.521 0.681
0.425 0.144 0.654
0.479 0.761 0.819
0.521 0.239 0.181
0.575 0.856 0.346
0.761 0.479 0.319
0.812 0.092 0.486
0.856 0.575 0.846
0.908 0.188 0.014
0.400 0.600 0.250
0.600 0.400 0.750
0.066 0.266 0.584
0.266 0.066 0.084
0.734 0.934 0.916
0.934 0.734 0.416
```

=====

Entry two
VASP calculation (GGA-PBE) on an optimized crystal structure of Nd6DyTm2.

## Properties
size of the total moment: 0.00 μB per formula unit

Geometry as POSCAR:
```
Nd6DyTm2
1.0
11.006 -4.942 0.000
11.006 4.942 0.000
-1.492 0.000 5.535
Nd Dy Tm
12 2 4
direct
0.002 0.167 0.333
0.081 0.580 0.080
0.167 0.002 0.833
0.332 0.499 0.665
0.420 0.919 0.420
0.499 0.332 0.165
0.501 0.668 0.835
0.580 0.081 0.580
0.668 0.501 0.335
0.833 0.998 0.167
0.919 0.420 0.920
0.998 0.833 0.667
0.250 0.750 0.250
0.750 0.250 0.750
0.167 0.333 0.501
0.333 0.167 0.001
0.667 0.833 0.999
0.833 0.667 0.499
```

=====

Stability summary: most stable entry two, least stable entry one.

=====

Entry one
VASP calculation (GGA-PBE) on an optimized crystal structure of NdDy4Tm3.

## Properties
size of the total moment: 0.00 μB per formula unit

Geometry as POSCAR:
```
NdDy4Tm3
1.0
2.811 -12.976 0.000
2.811 12.976 0.000
0.000 0.000 3.545
Nd Dy Tm
1 4 3
direct
0.000 0.000 0.000
0.105 0.895 0.500
0.224 0.776 0.500
0.776 0.224 0.500
0.895 0.105 0.500
0.344 0.656 0.000
0.500 0.500 0.500
0.656 0.344 0.000
```

=====

Entry two
VASP calculation (GGA-PBE) on an optimized crystal structure of NdDy4Tm3.

## Properties
size of the total moment: 0.00 μB per formula unit

Geometry as POSCAR:
```
NdDy4Tm3
1.0
11.223 0.000 0.000
0.000 7.242 0.000
0.000 0.000 6.253
Nd Dy Tm
2 8 6
direct
0.000 0.125 0.000
0.500 0.875 0.500
0.000 0.375 0.502
0.000 0.626 0.999
0.248 0.625 0.334
0.252 0.375 0.834
0.500 0.374 0.499
0.500 0.625 0.002
0.748 0.375 0.834
0.752 0.625 0.334
0.000 0.875 0.500
0.250 0.125 0.334
0.250 0.875 0.834
0.500 0.125 0.000
0.750 0.125 0.334
0.750 0.875 0.834
```

=====

Stability summary: most stable entry two, least stable entry one.

=====

Entry one
VASP calculation (GGA-PBE) on an optimized crystal structure of Nd8DyTm2.

## Properties
size of the total moment: 0.00 μB per formula unit

Geometry as POSCAR:
```
Nd8DyTm2
1.0
8.446 -3.400 0.000
8.446 3.400 0.000
-1.175 0.000 6.598
Nd Dy Tm
8 1 2
direct
0.095 0.095 0.915
0.152 0.674 0.594
0.255 0.255 0.678
0.326 0.848 0.406
0.674 0.152 0.594
0.745 0.745 0.322
0.848 0.326 0.406
0.905 0.905 0.085
0.500 0.500 0.000
0.303 0.303 0.192
0.697 0.697 0.808
```

=====

Entry two
VASP calculation (GGA-PBE) on an optimized crystal structure of Nd8DyTm2.

## Properties
size of the total moment: 0.00 μB per formula unit

Geometry as POSCAR:
```
Nd8DyTm2
1.0
5.220 -6.782 0.000
5.220 6.782 0.000
0.000 0.000 5.481
Nd Dy Tm
8 1 2
direct
0.165 0.165 0.000
0.199 0.469 0.500
0.247 0.753 0.000
0.469 0.199 0.500
0.531 0.801 0.500
0.753 0.247 0.000
0.801 0.531 0.500
0.835 0.835 0.000
0.500 0.500 0.000
0.119 0.881 0.500
0.881 0.119 0.500
```

=====

Stability summary: most stable entry two, least stable entry one.